Entry 1:
Here is a geometry-optimized La4TbDy6 structure from Alexandria via LeMat-Bulk. Energies are from PBE.

Structure (POSCAR):
```
La4TbDy6
1.0
-4.661 -3.830 -7.618
7.901 -1.706 5.393
-0.514 -0.038 9.703
La Tb Dy
4 1 6
Direct
0.000 0.632 0.014
0.381 0.368 0.368
0.000 0.014 0.632
0.619 0.986 0.986
0.000 0.000 0.000
0.000 0.792 0.443
0.000 0.443 0.792
0.349 0.557 0.557
0.500 0.500 0.000
0.651 0.208 0.208
0.500 0.000 0.500
```

Entry 2:
Here is a geometry-optimized La4Tb2Dy3 structure from Alexandria via LeMat-Bulk. Energies are from PBE.

Structure (POSCAR):
```
La4Tb2Dy3
1.0
-0.759 2.155 -2.892
2.469 -5.760 -2.592
-9.989 -9.726 -4.627
La Tb Dy
4 2 3
Direct
0.647 0.294 0.128
0.112 0.224 0.606
0.888 0.776 0.394
0.353 0.706 0.872
0.337 0.674 0.209
0.663 0.326 0.791
0.382 0.764 0.612
0.000 0.000 0.000
0.618 0.236 0.388
```

Entry 3:
Here is a geometry-optimized LaTb2Dy structure from Alexandria via LeMat-Bulk. Energies are from PBE.

Structure (POSCAR):
```
LaTb2Dy
1.0
5.748 0.000 0.000
2.874 4.978 0.000
2.874 1.659 4.693
La Tb Dy
1 2 1
Direct
0.500 0.500 0.500
0.250 0.250 0.250
0.750 0.750 0.750
0.000 0.000 0.000
```

Entry 4:
Here is a geometry-optimized LaTbDy6 structure from Alexandria via LeMat-Bulk. Energies are from PBE.

Structure (POSCAR):
```
LaTbDy6
1.0
5.732 -0.254 -2.187
-2.478 5.613 -0.245
-0.980 0.586 9.279
La Tb Dy
1 1 6
Direct
0.500 0.000 0.500
0.000 0.000 0.000
0.358 0.457 0.298
0.841 0.940 0.298
0.159 0.060 0.702
0.642 0.543 0.702
0.701 0.376 0.077
0.299 0.624 0.923
```

Entry 5:
Here is a geometry-optimized La5Tb2Dy4 structure from Alexandria via LeMat-Bulk. Energies are from PBE.

Structure (POSCAR):
```
La5Tb2Dy4
1.0
-0.955 -3.415 -0.240
8.493 -2.573 2.818
-7.443 3.227 9.999
La Tb Dy
5 2 4
Direct
0.853 0.055 0.705
0.853 0.650 0.705
0.147 0.350 0.295
0.147 0.945 0.295
0.500 0.000 0.000
0.269 0.269 0.539
0.731 0.731 0.461
0.000 0.314 0.000
0.596 0.596 0.193
0.000 0.686 0.000
0.404 0.404 0.807
```

Entry 6:
Here is a geometry-optimized La4TbDy2 structure from Alexandria via LeMat-Bulk. Energies are from PBE.

Structure (POSCAR):
```
La4TbDy2
1.0
-6.605 -10.829 1.336
5.834 8.566 -7.433
5.576 -1.974 3.543
Dy Tb La
4 2 8
Direct
0.629 0.313 0.457
0.922 0.106 0.043
0.106 0.922 0.543
0.313 0.629 0.957
0.416 0.666 0.500
0.666 0.416 0.000
0.710 0.172 0.861
0.172 0.710 0.361
0.192 0.798 0.907
0.798 0.192 0.407
0.035 0.142 0.593
0.561 0.599 0.140
0.599 0.561 0.640
0.142 0.035 0.093
```

Listing E_form for the structures above in their given order: 0.2915; 0.0836; 0.1343; 0.3694; 0.1811; 0.0710 eV/atom.
Listing final energy for the structures above in their given order: -4.4315; -4.6694; -4.5632; -4.2769; -4.5740; -4.7211 eV/atom.
Listing spin magnetization for the structures above in their given order: 0.0; 0.0; 0.0; 0.0; 0.0; 0.0 μB/f.u..